# 1
This record from Alexandria via LeMat-Bulk describes NiW2Se after structural relaxation. The functional is GGA-PBE.

Cell: 2.803 2.803 8.416 Å, 90.00 90.00 108.70°
Atoms (fractional coordinates):
Se1 0.500 0.500 0.739
W1 0.500 0.500 0.264
W2 0.000 0.000 0.008
Ni1 0.000 0.000 0.489

Output
energy relative to the elements, uncorrected = 1.53 eV per formula unit

***

# 2
This record from Alexandria via LeMat-Bulk describes CrRu2Br after structural relaxation. The functional is GGA-PBE.

Cell: 2.886 2.886 8.876 Å, 90.00 90.00 119.42°
Site moments in Bohr magnetons follow the coordinates.
Atoms (fractional coordinates):
Br1 0.000 0.000 0.521  0.01
Ru1 0.500 0.500 0.231  0.54
Ru2 0.000 0.000 0.989  -0.12
Cr1 0.500 0.500 0.759  2.56

Output
energy relative to the elements, uncorrected = 3.40 eV per formula unit
E above lowest polymorph = 333 meV/atom

***

# 3
This record from Alexandria via LeMat-Bulk describes ThGa6Au12 after structural relaxation. The functional is GGA-PBE.

Cell: 7.587 7.587 7.587 Å, 106.03 106.03 106.03°
Atoms (fractional coordinates):
Th1 0.000 0.000 0.000
Au1 0.628 0.628 0.872
Au2 0.500 0.881 0.119
Au3 0.119 0.881 0.500
Au4 0.372 0.128 0.372
Au5 0.119 0.500 0.881
Au6 0.881 0.119 0.500
Au7 0.500 0.119 0.881
Au8 0.628 0.872 0.628
Au9 0.881 0.500 0.119
Au10 0.872 0.628 0.628
Au11 0.372 0.372 0.128
Au12 0.128 0.372 0.372
Ga1 0.720 0.306 0.720
Ga2 0.280 0.280 0.694
Ga3 0.720 0.720 0.306
Ga4 0.694 0.280 0.280
Ga5 0.280 0.694 0.280
Ga6 0.306 0.720 0.720

Output
energy relative to the elements = -179 meV/atom

***

# 4
This record from Alexandria via LeMat-Bulk describes Ac2ErPaN4 after structural relaxation. The functional is GGA-PBE.

Cell: 3.638 6.187 6.520 Å, 108.48 90.00 90.00°
Atoms (fractional coordinates):
N1 0.000 0.749 0.204
N2 0.000 0.251 0.796
N3 0.500 0.224 0.197
N4 0.500 0.776 0.803
Pa1 0.000 0.000 0.000
Er1 0.500 0.500 0.000
Ac1 0.000 0.500 0.500
Ac2 0.500 0.000 0.500

Output
energy relative to the elements, uncorrected = -11.29 eV per formula unit

***

# 5
This record from Alexandria via LeMat-Bulk describes Tb6P2S3I after structural relaxation. The functional is GGA-PBE.

Cell: 4.020 8.161 8.991 Å, 102.13 102.92 90.00°
Atoms (fractional coordinates):
I1 0.500 0.000 0.000
Tb1 0.332 0.422 0.663
Tb2 0.668 0.578 0.337
Tb3 0.317 0.895 0.634
Tb4 0.683 0.105 0.366
Tb5 0.994 0.709 0.989
Tb6 0.006 0.291 0.011
S1 0.841 0.165 0.682
S2 0.159 0.835 0.318
S3 0.500 0.500 0.000
P1 0.168 0.333 0.335
P2 0.832 0.667 0.665

Output
energy relative to the elements, uncorrected = -20.08 eV per formula unit

***

# 6
This record from Alexandria via LeMat-Bulk describes ZnCoTe2 after structural relaxation. The functional is GGA-PBE.

Cell: 3.800 7.700 3.755 Å, 90.00 90.00 90.00°
Site moments in Bohr magnetons follow the coordinates.
Atoms (fractional coordinates):
Co1 0.000 0.500 0.500  1.88
Te1 0.000 0.000 0.000  0.05
Te2 0.500 0.500 0.000  0.15
Zn1 0.500 0.000 0.500  0.00

Output
energy relative to the elements, uncorrected = 1.54 eV per formula unit

***

# 7
This record from Alexandria via LeMat-Bulk describes Na2Tl7Pb after structural relaxation. The functional is GGA-PBE.

Cell: 8.556 8.556 8.556 Å, 60.00 60.00 60.00°
Atoms (fractional coordinates):
Na1 0.250 0.250 0.250
Na2 0.750 0.750 0.750
Tl1 0.749 0.251 0.749
Tl2 0.251 0.749 0.749
Tl3 0.251 0.251 0.749
Tl4 0.251 0.749 0.251
Tl5 0.749 0.251 0.251
Tl6 0.749 0.749 0.251
Tl7 0.500 0.500 0.500
Pb1 0.000 0.000 0.000

Output
E above lowest polymorph = 253 meV/atom
energy relative to the elements = 251 meV/atom

***

# 8
This record from Alexandria via LeMat-Bulk describes Ba3Li2Ga9 after structural relaxation. The functional is GGA-PBE.

Cell: 4.651 8.982 8.982 Å, 68.75 74.99 74.99°
Atoms (fractional coordinates):
Ba1 0.309 0.691 0.691
Ba2 0.000 0.000 0.000
Ba3 0.691 0.309 0.309
Ga1 0.149 0.580 0.122
Ga2 0.851 0.878 0.420
Ga3 0.664 0.699 0.973
Ga4 0.851 0.420 0.878
Ga5 0.149 0.122 0.580
Ga6 0.336 0.027 0.301
Ga7 0.336 0.301 0.027
Ga8 0.000 0.500 0.500
Ga9 0.664 0.973 0.699
Li1 0.500 0.301 0.699
Li2 0.500 0.699 0.301

Output
energy relative to the elements = -391 meV/atom

***

# 9
This record from Alexandria via LeMat-Bulk describes BaZn3Co after structural relaxation. The functional is GGA-PBE.

Cell: 6.209 6.209 6.209 Å, 90.00 90.00 90.00°
Site moments in Bohr magnetons follow the coordinates.
Atoms (fractional coordinates):
Zn1 0.000 0.000 0.500  -0.01
Zn2 0.000 0.500 0.000  -0.01
Zn3 0.500 0.000 0.000  -0.04
Co1 0.500 0.500 0.500  2.20
Ba1 0.000 0.000 0.000  -0.09

Output
E above lowest polymorph = 1573 meV/atom
energy relative to the elements = 1464 meV/atom

***

# 10
This record from Alexandria via LeMat-Bulk describes ThPdAuN after structural relaxation. The functional is GGA-PBE.

Cell: 4.214 4.214 8.074 Å, 90.00 90.00 90.00°
Atoms (fractional coordinates):
Th1 0.500 0.000 0.143
Th2 0.000 0.500 0.857
Au1 0.000 0.000 0.500
Au2 0.500 0.500 0.500
N1 0.000 0.000 0.000
N2 0.500 0.500 0.000
Pd1 0.000 0.500 0.271
Pd2 0.500 0.000 0.729

Output
energy relative to the elements, uncorrected = -3.54 eV per formula unit

***

# 11
This record from Alexandria via LeMat-Bulk describes K2Rb after structural relaxation. The functional is GGA-PBE.

Cell: 4.749 8.341 12.672 Å, 108.12 101.01 89.92°
Atoms (fractional coordinates):
K1 0.642 0.657 0.749
K2 0.142 0.157 0.749
K3 0.304 0.982 0.070
K4 0.804 0.482 0.070
Rb1 0.473 0.819 0.409
Rb2 0.972 0.319 0.409

Output
energy relative to the elements = 5 meV/atom

***

# 12
This record from Alexandria via LeMat-Bulk describes Tl2In5Sn after structural relaxation. The functional is GGA-PBE.

Cell: 6.700 6.700 6.700 Å, 104.70 104.71 119.49°
Atoms (fractional coordinates):
In1 0.278 0.278 0.500
In2 0.278 0.778 0.000
In3 0.278 0.277 0.000
In4 0.778 0.278 0.000
In5 0.778 0.778 0.500
Sn1 0.778 0.778 0.000
Tl1 0.278 0.778 0.500
Tl2 0.778 0.278 0.500

Output
E above lowest polymorph = 0 meV/atom
energy relative to the elements = 38 meV/atom

***

Which density of states at the Fermi level belongs to each record? In order, 0.764, 1.497, 0.216, 0.335, 0.393, 0.777, 0.448, 0.324, 1.056, 0.087, 0.689, 0.387 states/eV per atom.